Ti12TlGa3 | PBE-GGA | optimized geometry

Cell and atoms, written as POSCAR:
```
Ti12TlGa3
1.0
5.1200 0.0000 0.0000
0.0000 5.1198 0.0000
0.0000 0.0000 10.2281
Ti Tl Ga
12 1 3
Direct
0.5000 0.0000 0.3703 Ti
0.5000 0.0000 0.8770 Ti
0.7510 0.5000 0.0000 Ti
0.7437 0.5000 0.5000 Ti
0.0000 0.7478 0.2434 Ti
0.0000 0.7478 0.7566 Ti
0.5000 0.0000 0.1230 Ti
0.5000 0.0000 0.6297 Ti
0.2490 0.5000 0.0000 Ti
0.2563 0.5000 0.5000 Ti
0.0000 0.2522 0.2434 Ti
0.0000 0.2522 0.7566 Ti
0.0000 0.0000 0.5000 Tl
0.5000 0.5000 0.2498 Ga
0.5000 0.5000 0.7502 Ga
0.0000 0.0000 0.0000 Ga
```

## Properties
Energy (eV per atom): -6.868
ΔE_f (eV per formula unit): -3.70